Record 1
CdBPt3 | PBE | optimized geometry

POSCAR file:
```
CdBPt3
1.0
-4.910 1.400 2.582
-0.689 -7.796 2.917
3.265 1.692 5.293
B Pt Cd
4 12 4
direct
0.000 0.000 0.500
0.500 0.500 0.000
0.500 0.000 0.000
0.000 0.500 0.500
0.222 0.968 0.765
0.278 0.468 0.265
0.278 0.032 0.265
0.778 0.468 0.235
0.778 0.032 0.235
0.722 0.532 0.735
0.722 0.968 0.735
0.222 0.532 0.765
0.570 0.250 0.958
0.930 0.750 0.458
0.430 0.750 0.042
0.070 0.250 0.542
0.557 0.250 0.516
0.943 0.750 0.016
0.443 0.750 0.484
0.057 0.250 0.984
```

distance to the lowest polymorph of the same formula = 0.41 eV per formula unit
magnetic moment = 0.00 μB per cell
space-group type = Pnma (62)
DFT formation energy = -1.3 eV per formula unit



Record 2
VSe2NCl | PBE | optimized geometry

POSCAR file:
```
VSe2NCl
1.0
4.965 0.000 0.000
0.000 4.965 0.000
0.000 0.000 3.669
N Cl Se V
1 1 2 1
direct
0.000 0.000 0.500
0.500 0.500 0.500
0.000 0.500 0.000
0.500 0.000 0.000
0.000 0.000 0.000
```

distance to the lowest polymorph of the same formula = 0.00 eV per formula unit
magnetic moment = 0.00 μB per cell
space-group type = P4/mmm (123)



Record 3
POsW2 | PBE | optimized geometry

POSCAR file:
```
POsW2
1.0
-5.638 5.207 -3.939
-6.592 5.417 -1.274
-4.455 7.067 -2.151
P Os W
1 1 2
direct
0.000 0.000 0.000
0.500 0.500 0.500
0.745 0.745 0.745
0.255 0.255 0.255
```

magnetic moment = 0.00 μB per cell
space-group type = R-3m (166)
DFT formation energy = 0.7 eV per formula unit



Record 4
Ba2CoAu | PBE | optimized geometry

POSCAR file:
```
Ba2CoAu
1.0
-7.608 -3.513 0.014
2.235 -4.816 6.483
-3.892 -1.543 5.611
Co Au Ba
2 2 4
direct
0.500 0.500 0.000
0.250 0.750 0.500
0.000 0.000 0.000
0.750 0.250 0.500
0.593 0.125 0.250
0.157 0.625 0.250
0.375 0.407 0.750
0.875 0.843 0.750
```

distance to the lowest polymorph of the same formula = 1.36 eV per formula unit
magnetic moment = 0.60 μB per cell
space-group type = I-42d (122)
DFT formation energy = 1.0 eV per formula unit



Record 5
LaPr2NdTm5 | PBE | optimized geometry

POSCAR file:
```
LaPr2NdTm5
1.0
8.707 0.000 0.000
0.000 8.707 0.000
-4.354 -4.354 7.811
La Pr Nd Tm
2 4 2 10
direct
0.250 0.750 0.500
0.750 0.250 0.500
0.118 0.382 0.000
0.618 0.118 0.000
0.382 0.882 0.000
0.882 0.618 0.000
0.250 0.250 0.500
0.750 0.750 0.500
0.928 0.428 0.274
0.654 0.154 0.726
0.072 0.572 0.726
0.154 0.072 0.726
0.572 0.654 0.726
0.846 0.928 0.274
0.428 0.346 0.274
0.346 0.846 0.274
0.500 0.500 0.000
0.000 0.000 0.000
```

magnetic moment = 0.00 μB per cell
space-group type = I4/mcm (140)
DFT formation energy = 2.2 eV per formula unit



Record 6
PmUSbTe | PBE | optimized geometry

POSCAR file:
```
PmUSbTe
1.0
5.390 0.000 0.000
2.695 4.668 0.000
2.695 1.556 4.401
Sb Te U Pm
1 1 1 1
direct
0.250 0.250 0.250
0.750 0.750 0.750
0.000 0.000 0.000
0.500 0.500 0.500
```

magnetic moment = 3.57 μB per cell
space-group type = F-43m (216)



no.,density of states at the Fermi level (states/eV/cell),E (eV per atom)
1,4.8,-5.4123
2,3.8,-5.0367
3,5.4,-10.4524
4,6.7,-3.2978
5,18.0,-4.3820
6,7.0,-6.4670